1.
## CeAl4Zn2 (PBE)

Data for an optimized crystal structure of CeAl4Zn2.

Summary:
Uncorrected energy: -25.03 eV/cell
E_form: -0.23 eV/atom
ρ: 4.86 Mg/m³

a = 7.6347 Å, b = 7.6347 Å, c = 4.1901 Å
α = 90.00°, β = 90.00°, γ = 147.96°
Element x y z (fractional)
Ce  0.0000  0.0000  0.0000
Al  0.1838  0.8162  0.5000
Al  0.3138  0.6862  0.0000
Al  0.6862  0.3138  0.0000
Al  0.8162  0.1838  0.5000
Zn  0.4171  0.5829  0.5000
Zn  0.5829  0.4171  0.5000

=====

2.
## Dy3ThIr8 (PBE)

Data for an optimized crystal structure of Dy3ThIr8.

Summary:
Uncorrected energy: -101.65 eV/cell
E_form: -0.79 eV/atom
ρ: 16.99 Mg/m³

a = 5.3950 Å, b = 5.3950 Å, c = 8.7509 Å
α = 90.00°, β = 90.00°, γ = 120.00°
Element x y z (fractional)
Dy  0.0000  0.0000  0.0000
Dy  0.0000  0.0000  0.3610
Dy  0.3333  0.6667  0.8735
Th  0.3333  0.6667  0.5056
Ir  0.0063  0.5031  0.1836
Ir  0.3264  0.1632  0.6866
Ir  0.4969  0.5031  0.1836
Ir  0.4969  0.9937  0.1836
Ir  0.6667  0.3333  0.4338
Ir  0.6667  0.3333  0.9355
Ir  0.8368  0.1632  0.6866
Ir  0.8368  0.6736  0.6866

=====

3.
## BaPmSi2O6 (PBE)

Data for an optimized crystal structure of BaPmSi2O6.

Summary:
Uncorrected energy: -149.60 eV/cell
ρ: 4.75 Mg/m³
Formation energy (no corrections): -2.75 eV per atom

a = 7.1585 Å, b = 7.1585 Å, c = 6.1743 Å
α = 101.43°, β = 101.43°, γ = 89.85°
Element x y z (fractional)
Ba  0.1815  0.8185  0.7500
Ba  0.8185  0.1815  0.2500
Pm  0.3895  0.6105  0.2500
Pm  0.6105  0.3895  0.7500
Si  0.1384  0.2872  0.7808
Si  0.2872  0.1384  0.2808
Si  0.7128  0.8616  0.7192
Si  0.8616  0.7128  0.2192
O  0.0767  0.6359  0.2934
O  0.1516  0.1882  0.0276
O  0.1882  0.1516  0.5276
O  0.3016  0.4664  0.8629
O  0.3641  0.9233  0.2066
O  0.4664  0.3016  0.3629
O  0.5336  0.6984  0.6371
O  0.6359  0.0767  0.7934
O  0.6984  0.5336  0.1371
O  0.8118  0.8484  0.4724
O  0.8484  0.8118  0.9724
O  0.9233  0.3641  0.7066

=====

4.
## PRhIO2 (PBE)

Data for an optimized crystal structure of PRhIO2.

Summary:
Uncorrected energy: -21.52 eV/cell
ρ: 5.71 Mg/m³
Energy above the lowest structure with this stoichiometry: 2.97 eV per formula unit
Formation energy (no corrections): 0.54 eV per atom

a = 3.8659 Å, b = 3.8659 Å, c = 5.6941 Å
α = 90.00°, β = 90.00°, γ = 90.00°
Element x y z (fractional)
P  0.0000  0.0000  0.0000
Rh  0.5000  0.5000  0.0000
I  0.0000  0.0000  0.5000
O  0.0000  0.5000  0.5000
O  0.5000  0.0000  0.5000

=====

5.
## Hf2Pd3Au3 (PBE)

Data for an optimized crystal structure of Hf2Pd3Au3.

Summary:
Uncorrected energy: -50.38 eV/cell
E_form: -0.63 eV/atom
ρ: 14.95 Mg/m³
Energy above the lowest structure with this stoichiometry: 0.00 eV per formula unit

a = 5.2023 Å, b = 5.2023 Å, c = 5.2023 Å
α = 90.15°, β = 90.15°, γ = 90.15°
Element x y z (fractional)
Hf  0.2455  0.2455  0.2455
Hf  0.7545  0.7545  0.7545
Pd  0.0000  0.2502  0.7498
Pd  0.2502  0.7498  0.0000
Pd  0.7498  0.0000  0.2502
Au  0.2485  0.7515  0.5000
Au  0.5000  0.2485  0.7515
Au  0.7515  0.5000  0.2485

=====

6.
## PmYCl3 (PBE)

Data for an optimized crystal structure of PmYCl3.

Summary:
Uncorrected energy: -52.01 eV/cell
ρ: 3.93 Mg/m³
Formation energy (no corrections): -1.85 eV per atom

a = 8.2063 Å, b = 8.2063 Å, c = 10.6311 Å
α = 118.69°, β = 118.69°, γ = 27.49°
Element x y z (fractional)
Pm  0.1401  0.1401  0.2915
Pm  0.8599  0.8599  0.7085
Y  0.4147  0.4147  0.0475
Y  0.5853  0.5853  0.9525
Cl  0.0467  0.0467  0.7480
Cl  0.2233  0.2233  0.1143
Cl  0.3418  0.3418  0.4927
Cl  0.6582  0.6582  0.5073
Cl  0.7767  0.7767  0.8857
Cl  0.9533  0.9533  0.2520

=====

7.
## DyHo4ErTm2 (PBE)

Data for an optimized crystal structure of DyHo4ErTm2.

Summary:
Uncorrected energy: -36.24 eV/cell
E_form: 0.02 eV/atom
ρ: 9.04 Mg/m³

a = 4.9559 Å, b = 4.9559 Å, c = 9.9253 Å
α = 90.00°, β = 90.00°, γ = 90.00°
Element x y z (fractional)
Dy  0.0000  0.0000  0.0000
Ho  0.0000  0.5000  0.2506
Ho  0.0000  0.5000  0.7494
Ho  0.5000  0.0000  0.2506
Ho  0.5000  0.0000  0.7494
Er  0.5000  0.5000  0.5000
Tm  0.0000  0.0000  0.5000
Tm  0.5000  0.5000  0.0000

=====

8.
## TbSm6Er2Sc3 (PBE)

Data for an optimized crystal structure of TbSm6Er2Sc3.

Summary:
Uncorrected energy: -60.54 eV/cell
E_form: 0.04 eV/atom
ρ: 6.96 Mg/m³

a = 6.1095 Å, b = 6.1095 Å, c = 11.4780 Å
α = 95.08°, β = 95.08°, γ = 119.97°
Element x y z (fractional)
Tb  0.0000  0.0000  0.0000
Sm  0.0860  0.4195  0.2583
Sm  0.2475  0.2475  0.7417
Sm  0.4195  0.0860  0.2583
Sm  0.5805  0.9140  0.7417
Sm  0.7525  0.7525  0.2583
Sm  0.9140  0.5805  0.7417
Er  0.3334  0.6666  0.0000
Er  0.6666  0.3334  0.0000
Sc  0.1668  0.8332  0.5000
Sc  0.5000  0.5000  0.5000
Sc  0.8332  0.1668  0.5000

=====

9.
## Bi2Rh3Se2 (PBE)

Data for an optimized crystal structure of Bi2Rh3Se2.

Summary:
Uncorrected energy: -77.20 eV/cell
ρ: 9.83 Mg/m³
Formation energy (no corrections): -0.26 eV per atom

a = 6.7673 Å, b = 7.0552 Å, c = 6.8449 Å
α = 90.00°, β = 113.82°, γ = 90.00°
Element x y z (fractional)
Bi  0.1362  0.1583  0.4044
Bi  0.1362  0.3417  0.9044
Bi  0.8638  0.6583  0.0956
Bi  0.8638  0.8417  0.5956
Rh  0.0000  0.0000  0.0000
Rh  0.0000  0.5000  0.5000
Rh  0.3105  0.5268  0.3029
Rh  0.3105  0.9732  0.8029
Rh  0.6895  0.0268  0.1971
Rh  0.6895  0.4732  0.6971
Se  0.3584  0.6540  0.6593
Se  0.3584  0.8460  0.1593
Se  0.6416  0.1540  0.8407
Se  0.6416  0.3460  0.3407

=====

10.
## TbPm5Sc2 (PBE)

Data for an optimized crystal structure of TbPm5Sc2.

Summary:
Uncorrected energy: -79.93 eV/cell
E_form: 0.14 eV/atom
ρ: 6.32 Mg/m³

a = 9.5199 Å, b = 9.5199 Å, c = 6.4744 Å
α = 97.97°, β = 97.97°, γ = 62.05°
Element x y z (fractional)
Tb  0.0000  0.5000  0.0000
Tb  0.5000  0.0000  0.5000
Pm  0.0590  0.9410  0.2500
Pm  0.1103  0.2893  0.5138
Pm  0.2893  0.1103  0.0138
Pm  0.3115  0.5004  0.3673
Pm  0.5004  0.3115  0.8673
Pm  0.4996  0.6885  0.1327
Pm  0.6885  0.4996  0.6327
Pm  0.7107  0.8897  0.9862
Pm  0.8897  0.7107  0.4862
Pm  0.9410  0.0590  0.7500
Sc  0.1778  0.6694  0.8637
Sc  0.3306  0.8222  0.6363
Sc  0.6694  0.1778  0.3637
Sc  0.8222  0.3306  0.1363

=====

11.
## CaCdMo2 (PBE)

Data for an optimized crystal structure of CaCdMo2.

Summary:
Uncorrected energy: -22.37 eV/cell
E_form: 0.55 eV/atom
ρ: 7.19 Mg/m³

a = 4.9503 Å, b = 4.9503 Å, c = 6.0064 Å
α = 92.63°, β = 92.63°, γ = 32.73°
Element x y z (fractional)
Ca  0.0000  0.0000  0.0000
Cd  0.2500  0.2500  0.7308
Mo  0.5154  0.5154  0.4685
Mo  0.7576  0.7576  0.2911